Entry from Alexandria via LeMat-Bulk: an optimized crystal structure of TbSc5Ag6 (PBE).

Values from the calculation:
VASP energy, eV for the cell shown: -56.63

extended XYZ file:
```
12
Lattice="4.734 0.019 -1.382 -0.945 6.051 -3.151 -0.087 0.501 8.516" Properties=species:S:1:pos:R:3 pbc="T T T"
Sc 2.967 1.183 1.383
Sc 1.203 2.351 4.154
Sc -0.473 3.026 -1.576
Sc 2.499 4.221 -0.171
Sc 0.735 5.389 2.600
Tb 0.000 0.000 0.000
Ag 3.326 3.800 2.650
Ag 3.785 0.867 4.178
Ag 1.673 4.449 -3.003
Ag 2.115 1.621 -1.530
Ag -0.083 5.705 -0.195
Ag 0.375 2.772 1.332
```



Entry from Alexandria via LeMat-Bulk: an optimized crystal structure of ThGa2Br6 (PBE).

Values from the calculation:
Uncorrected formation energy, eV/f.u.: -11.00
VASP energy, eV for the cell shown: -69.01

extended XYZ file:
```
18
Lattice="7.775 0.000 -0.477 0.000 7.121 0.000 0.845 0.000 12.996" Properties=species:S:1:pos:R:3 pbc="T T T"
Th 3.888 3.560 -0.238
Th 0.422 0.000 6.498
Ga 0.707 3.573 10.744
Ga 4.447 0.013 8.511
Ga 4.173 7.108 4.008
Ga 7.913 3.548 1.775
Br 1.526 1.582 4.394
Br 1.790 1.631 8.400
Br 2.334 1.995 12.897
Br 2.821 5.555 6.359
Br 3.364 5.191 10.856
Br 2.784 5.142 1.865
Br 7.094 5.539 8.125
Br 6.830 5.490 4.119
Br 6.286 5.126 -0.377
Br 5.799 1.565 6.160
Br 5.256 1.929 1.664
Br 5.836 1.979 10.654
```



Entry from Alexandria via LeMat-Bulk: an optimized crystal structure of Tm2SnS (PBE).

Values from the calculation:
Uncorrected formation energy, eV/f.u.: -4.99
VASP energy, eV for the cell shown: -22.06

extended XYZ file:
```
4
Lattice="3.715 0.000 0.000 1.857 3.217 0.000 1.857 1.072 7.926" Properties=species:S:1:pos:R:3 pbc="T T T"
Tm 1.857 1.072 6.328
Tm 1.857 1.072 1.600
Sn 3.715 2.145 3.982
S 5.572 3.217 7.906
```



Entry from Alexandria via LeMat-Bulk: an optimized crystal structure of Nd15Tm4Al (PBE).

Values from the calculation:
VASP energy, eV for the cell shown: -93.42

extended XYZ file:
```
20
Lattice="5.082 0.000 0.000 0.000 5.082 0.000 0.000 0.000 25.549" Properties=species:S:1:pos:R:3 pbc="T T T"
Nd 2.541 2.541 0.000
Nd 2.541 2.541 4.999
Nd 2.541 2.541 10.179
Nd 2.541 2.541 15.370
Nd 2.541 2.541 20.550
Nd 2.541 0.000 2.404
Nd 2.541 0.000 7.595
Nd 2.541 0.000 12.774
Nd 2.541 0.000 17.953
Nd 2.541 0.000 23.144
Nd 0.000 2.541 2.404
Nd 0.000 2.541 7.595
Nd 0.000 2.541 12.774
Nd 0.000 2.541 17.953
Nd 0.000 2.541 23.144
Tm 0.000 0.000 5.018
Tm 0.000 0.000 10.191
Tm 0.000 0.000 15.357
Tm 0.000 0.000 20.531
Al 0.000 0.000 0.000
```



Entry from Alexandria via LeMat-Bulk: an optimized crystal structure of Ho4AgRh (PBE).

Values from the calculation:
Offset from the most stable computed form, eV/atom: 0.000
VASP energy, eV for the cell shown: -125.62

extended XYZ file:
```
24
Lattice="2.336 6.106 6.859 0.234 -2.876 9.025 8.303 -0.862 4.484" Properties=species:S:1:pos:R:3 pbc="T T T"
Ho 4.316 0.940 8.085
Ho 5.279 3.456 10.913
Ho 4.413 -0.246 11.806
Ho 7.739 0.585 9.934
Ho 9.234 1.006 13.131
Ho 7.076 2.545 17.422
Ho 6.197 0.247 14.840
Ho 10.114 3.304 15.713
Ho 6.988 3.628 14.025
Ho 9.322 -0.077 16.528
Ho 7.240 -0.103 6.599
Ho 3.634 2.470 13.770
Ho 2.165 -1.370 9.455
Ho 8.709 3.737 10.913
Ho 3.487 4.279 8.093
Ho 7.387 -1.912 12.276
Ag 1.824 0.397 3.417
Ag 2.593 2.406 5.674
Ag 1.901 -0.549 6.386
Ag 4.556 0.114 4.892
Rh 6.595 1.436 12.353
Rh 5.600 -1.165 9.431
Rh 6.495 2.661 8.509
Rh 3.058 1.803 10.443
```



Entry from Alexandria via LeMat-Bulk: an optimized crystal structure of KAcAsAu (PBE).

Values from the calculation:
VASP energy, eV for the cell shown: -16.06

extended XYZ file:
```
4
Lattice="-3.099 -1.815 4.112 2.325 -1.569 4.684 -0.612 3.030 4.500" Properties=species:S:1:pos:R:3 pbc="T T T"
K -1.040 -0.265 9.972
Ac -0.347 -0.088 3.324
Au 0.000 0.000 0.000
As -0.694 -0.177 6.648
```